First-principles (PBE) data for an optimized crystal structure of YHfAgIr, as listed in Alexandria via LeMat-Bulk.

Unit cell a=6.8560 b=6.8560 c=6.8560 alpha=90.00 beta=90.00 gamma=90.00
Last column: nearest neighbours and their distance in Å.
Element x y z (fractional)
Y 0.0000 0.0000 0.0000  4 Ir 2.97, 4 Ag 2.97
Y 0.0000 0.5000 0.5000  4 Ir 2.97, 4 Ag 2.97
Y 0.5000 0.0000 0.5000  4 Ir 2.97, 4 Ag 2.97
Y 0.5000 0.5000 0.0000  4 Ir 2.97, 4 Ag 2.97
Hf 0.0000 0.0000 0.5000  4 Ir 2.97, 4 Ag 2.97
Hf 0.0000 0.5000 0.0000  4 Ir 2.97, 4 Ag 2.97
Hf 0.5000 0.0000 0.0000  4 Ir 2.97, 4 Ag 2.97
Hf 0.5000 0.5000 0.5000  4 Ir 2.97, 4 Ag 2.97
Ag 0.2500 0.2500 0.2500  4 Hf 2.97, 4 Y 2.97
Ag 0.2500 0.7500 0.7500  4 Hf 2.97, 4 Y 2.97
Ag 0.7500 0.2500 0.7500  4 Hf 2.97, 4 Y 2.97
Ag 0.7500 0.7500 0.2500  4 Hf 2.97, 4 Y 2.97
Ir 0.2500 0.2500 0.7500  4 Y 2.97, 4 Hf 2.97
Ir 0.2500 0.7500 0.2500  4 Hf 2.97, 4 Y 2.97
Ir 0.7500 0.2500 0.2500  4 Hf 2.97, 4 Y 2.97
Ir 0.7500 0.7500 0.7500  4 Y 2.97, 4 Hf 2.97

Values from the calculation:
The total energy comes out at -119.83 eV per cell. The formation energy is -457 meV/atom. The volume is 20.142 Å³/atom. The space group is No. 216.